[1]
Compound: Hf2NpScAs4
Source: the Alexandria database
Functional: GGA-PBE
Structure: optimized geometry

Lattice parameters (Å, degrees): 6.750 3.900 6.801 90.00 109.22 90.00
Space group P2/m (No. 10)
Symmetry-distinct sites (fractional):
Hf 0.000 0.000 0.000
Hf 0.500 0.500 0.000
Np 0.000 0.500 0.500
Sc 0.500 0.000 0.500
As 0.253 0.500 0.243
As 0.260 0.000 0.762

Properties
**ΔE_f**: -98.9 kJ per mole of atoms

=====

[2]
Compound: Sm2HfNpAs4
Source: the Alexandria database
Functional: GGA-PBE
Structure: optimized geometry

Lattice parameters (Å, degrees): 7.049 4.072 7.089 90.00 109.13 90.00
Space group P2/m (No. 10)
Symmetry-distinct sites (fractional):
Sm 0.000 0.000 0.000
Sm 0.500 0.500 0.000
Hf 0.000 0.500 0.500
Np 0.500 0.000 0.500
As 0.236 0.000 0.730
As 0.246 0.500 0.265

Properties
**ΔE_f**: -113.6 kJ per mole of atoms

=====

[3]
Compound: SmHfNp2As4
Source: the Alexandria database
Functional: GGA-PBE
Structure: optimized geometry

Lattice parameters (Å, degrees): 7.017 4.043 7.051 90.00 109.24 90.00
Space group P2/m (No. 10)
Symmetry-distinct sites (fractional):
Sm 0.000 0.000 0.000
Hf 0.000 0.500 0.500
Np 0.500 0.000 0.500
Np 0.500 0.500 0.000
As 0.240 0.000 0.735
As 0.248 0.500 0.262

Properties
**ΔE_f**: -91.8 kJ per mole of atoms

=====

What did the first record say?
Compound: Hf2NpScAs4
Source: the Alexandria database
Functional: GGA-PBE
Structure: optimized geometry

Lattice parameters (Å, degrees): 6.750 3.900 6.801 90.00 109.22 90.00
Space group P2/m (No. 10)
Symmetry-distinct sites (fractional):
Hf 0.000 0.000 0.000
Hf 0.500 0.500 0.000
Np 0.000 0.500 0.500
Sc 0.500 0.000 0.500
As 0.253 0.500 0.243
As 0.260 0.000 0.762

Properties
**ΔE_f**: -98.9 kJ per mole of atoms

=====

Among the records above, which one has the highest ΔE_f? SmHfNp2As4